This record from Alexandria describes a relaxed Pm2Sm3Tm6 crystal. The functional is PBE.

Properties
M_tot   0.0 μB/f.u.
Raw total energy   -4.399 eV per atom

Cell and atoms, written as CIF:
```
data_Pm2Sm3Tm6
_chemical_formula_sum 'Pm4 Sm6 Tm12'
_cell_length_a 6.1107
_cell_length_b 10.5999
_cell_length_c 11.5918
_cell_angle_alpha 90.00
_cell_angle_beta 100.17
_cell_angle_gamma 90.00
_symmetry_space_group_name_H-M 'C 1 2/m 1'
_symmetry_Int_Tables_number 12
_symmetry_space_group_name_Hall '-C 2y'
loop_
_atom_site_label
_atom_site_fract_x
_atom_site_fract_y
_atom_site_fract_z
Pm1 0.0000 0.1666 0.0000
Sm1 0.0000 0.0000 0.5000
Sm2 0.0000 0.3358 0.5000
Tm1 0.2505 0.0000 0.2502
Tm2 0.2501 0.1665 0.7499
```